Record 1
! LaHoThTc, optimized geometry, DFT PBE-GGA; values from VASP
! energy of formation = 0.110 eV per atom
! DFT total energy = -26.850 eV per cell
! total magnetization = 0.000 μB/atom
! space group = Cm (8)
&SYSTEM
  ibrav = 0, nat = 4, ntyp = 4
/
ATOMIC_SPECIES
Tc 98.00 Tc.upf
Ho 164.93 Ho.upf
La 138.91 La.upf
Th 232.04 Th.upf
ATOMIC_POSITIONS angstrom
Tc -0.288 -0.140 2.664
Ho -1.924 1.824 0.953
La -2.115 2.813 4.375
Th -2.403 -1.427 1.537
CELL_PARAMETERS angstrom
-3.763 -2.654 0.548
3.259 0.115 3.297
-1.658 6.688 1.406

Record 2
! LaHoZnTc, optimized geometry, DFT PBE-GGA; values from VASP
! energy of formation = -0.076 eV per atom
! DFT total energy = -21.448 eV per cell
! total magnetization = 0.000 μB/atom
! space group = F-43m (216)
&SYSTEM
  ibrav = 0, nat = 4, ntyp = 4
/
ATOMIC_SPECIES
Zn 65.41 Zn.upf
Ho 164.93 Ho.upf
La 138.91 La.upf
Tc 98.00 Tc.upf
ATOMIC_POSITIONS angstrom
Zn 0.000 0.000 0.000
Ho 2.518 1.454 1.028
La 7.555 4.362 3.084
Tc 5.037 2.908 2.056
CELL_PARAMETERS angstrom
5.037 0.000 0.000
2.518 4.362 0.000
2.518 1.454 4.113

Record 3
! LaHo5Te8, optimized geometry, DFT PBE-GGA; values from VASP
! raw formation energy = -1.235 eV per atom
! DFT total energy = -70.245 eV per cell
! total magnetization = 0.000 μB/atom
! space group = F-43m (216)
&SYSTEM
  ibrav = 0, nat = 14, ntyp = 3
/
ATOMIC_SPECIES
La 138.91 La.upf
Te 127.60 Te.upf
Ho 164.93 Ho.upf
ATOMIC_POSITIONS angstrom
La 4.544 2.623 1.855
Te 9.088 5.247 6.222
Te 9.088 7.615 2.873
Te 15.778 9.109 6.441
Te 7.037 4.063 2.873
Te 13.632 5.393 6.441
Te 11.486 9.109 6.441
Te 13.632 7.870 2.937
Te 11.139 4.063 2.873
Ho 9.088 5.247 0.891
Ho 6.786 6.576 4.650
Ho 0.000 0.000 0.000
Ho 9.088 2.589 4.650
Ho 11.390 6.576 4.650
CELL_PARAMETERS angstrom
9.088 0.000 0.000
4.544 7.870 0.000
4.544 2.623 7.420